Crystalline BaRuS2N at its relaxed geometry. Source: Alexandria, functional PBE.

Calculated values
The total energy comes out at -0.2231 hartree per atom. As for the space group: P4/mmm (123). Its crystal system is tetragonal. The value obtained for the uncorrected formation energy is -0.514 eV/atom. The density comes out at 5.4 Mg/m³. Its energy relative to the lowest polymorph listed for this composition is 0.000 eV per atom.

a b c (Å): 5.0704 5.0704 3.7891
angles (deg): 90.00 90.00 90.00
Positions (direct):
Ru  0.0000  0.0000  0.0000
S  0.0000  0.5000  0.0000
S  0.5000  0.0000  0.0000
Ba  0.5000  0.5000  0.5000
N  0.0000  0.0000  0.5000